# 1
# YRh2Cl

An optimized crystal structure of YRh2Cl (GGA-PBE, the Alexandria database).

Unit cell a=8.231 b=8.231 c=8.231 alpha=23.32 beta=23.32 gamma=23.32
Atoms (fractional coordinates):
Y 0.000 0.000 0.000
Rh 0.248 0.248 0.248
Rh 0.752 0.752 0.752
Cl 0.500 0.500 0.500

Symmetry: R-3m (166)
ΔE_f (raw) (eV per atom): 0.011
Final energy (eV/atom): -5.743
Fermi-level density of states (states/eV per cell): 4.918
Polymorph energy (0 for the lowest one) (meV/atom): 560.9



# 2
# YRh2Cl

An optimized crystal structure of YRh2Cl (GGA-PBE, the Alexandria database).

Unit cell a=3.511 b=3.511 c=5.927 alpha=90.00 beta=90.00 gamma=90.00
Atoms (fractional coordinates):
Y 0.000 0.000 0.000
Rh 0.500 0.500 0.251
Rh 0.500 0.500 0.749
Cl 0.000 0.000 0.500

Symmetry: P4/mmm (123)
ΔE_f (raw) (eV per atom): -0.198
Final energy (eV/atom): -5.951
Fermi-level density of states (states/eV per cell): 6.357
Polymorph energy (0 for the lowest one) (meV/atom): 352.3



# 3
# YRh2Cl

An optimized crystal structure of YRh2Cl (GGA-PBE, the Alexandria database).

Unit cell a=5.284 b=5.284 c=4.468 alpha=93.95 beta=93.95 gamma=35.91
Atoms (fractional coordinates):
Y 0.000 0.000 0.000
Rh 0.277 0.277 0.770
Rh 0.723 0.723 0.230
Cl 0.500 0.500 0.500

Symmetry: C2/m (12)
ΔE_f (raw) (eV per atom): -0.456
Final energy (eV/atom): -6.209
Fermi-level density of states (states/eV per cell): 4.376
Polymorph energy (0 for the lowest one) (meV/atom): 94.2



# 4
# YRhCl2

An optimized crystal structure of YRhCl2 (GGA-PBE, the Alexandria database).

Unit cell a=7.308 b=7.308 c=7.308 alpha=148.95 beta=147.82 gamma=45.33
Atoms (fractional coordinates):
Y 0.000 0.000 0.000
Rh 0.500 0.500 0.000
Cl 0.143 0.643 0.500
Cl 0.857 0.357 0.500

Symmetry: Immm (71)
ΔE_f (raw) (eV per atom): -0.975
Final energy (eV/atom): -5.352
Fermi-level density of states (states/eV per cell): 3.670
Polymorph energy (0 for the lowest one) (meV/atom): 247.1



# 5
# YRhCl2

An optimized crystal structure of YRhCl2 (GGA-PBE, the Alexandria database).

Unit cell a=4.506 b=4.506 c=4.506 alpha=68.03 beta=68.03 gamma=68.03
Atoms (fractional coordinates):
Y 0.000 0.000 0.000
Rh 0.500 0.500 0.500
Cl 0.274 0.274 0.274
Cl 0.726 0.726 0.726

Symmetry: R-3m (166)
ΔE_f (raw) (eV per atom): -0.842
Final energy (eV/atom): -5.219
Fermi-level density of states (states/eV per cell): 0.818
Polymorph energy (0 for the lowest one) (meV/atom): 379.7



# 6
# YRhCl2

An optimized crystal structure of YRhCl2 (GGA-PBE, the Alexandria database).

Unit cell a=4.433 b=4.433 c=4.274 alpha=90.00 beta=90.00 gamma=92.84
Atoms (fractional coordinates):
Y 0.000 0.000 0.000
Rh 0.500 0.500 0.000
Cl 0.266 0.734 0.500
Cl 0.734 0.266 0.500

Symmetry: Cmmm (65)
ΔE_f (raw) (eV per atom): -0.821
Final energy (eV/atom): -5.198
Fermi-level density of states (states/eV per cell): 1.300
Polymorph energy (0 for the lowest one) (meV/atom): 400.9



# 7
# YRhCl2

An optimized crystal structure of YRhCl2 (GGA-PBE, the Alexandria database).

Unit cell a=3.743 b=4.028 c=6.745 alpha=90.00 beta=98.67 gamma=90.00
Atoms (fractional coordinates):
Y 0.000 0.000 0.000
Rh 0.483 0.500 0.908
Cl 0.369 0.000 0.668
Cl 0.770 0.500 0.248

Symmetry: Pm (6)
ΔE_f (raw) (eV per atom): -1.118
Final energy (eV/atom): -5.495
Polymorph energy (0 for the lowest one) (meV/atom): 103.6



# 8
# YRhCl2

An optimized crystal structure of YRhCl2 (GGA-PBE, the Alexandria database).

Unit cell a=4.219 b=4.219 c=6.278 alpha=90.00 beta=90.00 gamma=120.27
Atoms (fractional coordinates):
Y 0.000 0.000 0.000
Rh 0.000 0.000 0.500
Cl 0.500 0.500 0.265
Cl 0.500 0.500 0.735

Symmetry: Cmmm (65)
ΔE_f (raw) (eV per atom): -0.433
Final energy (eV/atom): -4.810
Fermi-level density of states (states/eV per cell): 3.266
Polymorph energy (0 for the lowest one) (meV/atom): 788.4



# 9
# YRh2Cl

An optimized crystal structure of YRh2Cl (GGA-PBE, the Alexandria database).

Unit cell a=8.076 b=8.076 c=8.076 alpha=144.82 beta=144.82 gamma=50.61
Atoms (fractional coordinates):
Y 0.000 0.000 0.000
Y 0.750 0.250 0.500
Rh 0.247 0.625 0.122
Rh 0.375 0.497 0.622
Rh 0.503 0.125 0.878
Rh 0.875 0.753 0.378
Cl 0.250 0.750 0.500
Cl 0.500 0.500 0.000

Symmetry: I-42d (122)
ΔE_f (raw) (eV per atom): -0.065
Final energy (eV/atom): -5.819
Fermi-level density of states (states/eV per cell): 1.701
Polymorph energy (0 for the lowest one) (meV/atom): 484.8



# 10
# YRhCl2

An optimized crystal structure of YRhCl2 (GGA-PBE, the Alexandria database).

Unit cell a=9.015 b=9.015 c=9.015 alpha=151.48 beta=151.48 gamma=40.77
Atoms (fractional coordinates):
Y 0.000 0.000 0.000
Y 0.750 0.250 0.500
Rh 0.250 0.750 0.500
Rh 0.500 0.500 0.000
Cl 0.142 0.625 0.017
Cl 0.375 0.392 0.517
Cl 0.608 0.125 0.983
Cl 0.875 0.858 0.483

Symmetry: I-42d (122)
ΔE_f (raw) (eV per atom): -0.905
Final energy (eV/atom): -5.282
Fermi-level density of states (states/eV per cell): 0.000
Polymorph energy (0 for the lowest one) (meV/atom): 316.9



# 11
# YRhCl2

An optimized crystal structure of YRhCl2 (GGA-PBE, the Alexandria database).

Unit cell a=6.949 b=6.949 c=4.336 alpha=93.62 beta=93.62 gamma=30.78
Atoms (fractional coordinates):
Y 0.000 0.000 0.000
Rh 0.500 0.500 0.500
Cl 0.356 0.356 0.782
Cl 0.644 0.644 0.218

Symmetry: C2/m (12)
ΔE_f (raw) (eV per atom): -1.222
Final energy (eV/atom): -5.599
Polymorph energy (0 for the lowest one) (meV/atom): 0.0



# 12
# YRh2Cl

An optimized crystal structure of YRh2Cl (GGA-PBE, the Alexandria database).

Unit cell a=5.593 b=5.593 c=3.172 alpha=105.74 beta=105.74 gamma=120.66
Atoms (fractional coordinates):
Y 0.000 0.000 0.000
Rh 0.000 0.500 0.500
Rh 0.500 0.000 0.500
Cl 0.500 0.500 0.000

Symmetry: C2/m (12)
ΔE_f (raw) (eV per atom): -0.295
Final energy (eV/atom): -6.048
Fermi-level density of states (states/eV per cell): 3.812
Polymorph energy (0 for the lowest one) (meV/atom): 255.5